A PBEsol-optimized structure of K2LiRuF6, computed with SCAN.

Summary:
**VASP energy**: -0.7455 Ry/atom
**Calculated density**: 3.851 Mg/m³

```
K2LiRuF6
1.0
-0.1673 -4.7867 3.0500
-2.3678 -4.6764 -2.1834
3.2585 -4.4141 -1.4631
K Li Ru F
2 1 1 6
Direct
0.7500 0.7500 0.7500 K
0.2500 0.2500 0.2500 K
0.5000 0.5000 0.5000 Li
0.0000 0.0000 0.0000 Ru
0.7519 0.2481 0.2481 F
0.7519 0.7519 0.2481 F
0.2481 0.7519 0.7519 F
0.7519 0.2481 0.7519 F
0.2481 0.7519 0.2481 F
0.2481 0.2481 0.7519 F
```

A PBEsol-optimized structure of K2LiVF6, computed with SCAN.

Summary:
**VASP energy**: -0.6592 Ry/atom
**Calculated density**: 3.283 Mg/m³

```
K2LiVF6
1.0
5.6343 0.0000 0.0000
2.8172 4.8795 0.0000
2.8172 1.6265 4.6004
K Li V F
2 1 1 6
Direct
0.2500 0.2500 0.2500 K
0.7500 0.7500 0.7500 K
0.5000 0.5000 0.5000 Li
0.0000 0.0000 0.0000 V
0.7569 0.2431 0.2431 F
0.2431 0.7569 0.7569 F
0.7569 0.2431 0.7569 F
0.2431 0.7569 0.2431 F
0.7569 0.7569 0.2431 F
0.2431 0.2431 0.7569 F
```

A PBEsol-optimized structure of K2LuF5, computed with SCAN.

Summary:
**VASP energy**: -1.1012 Ry/atom
**Calculated density**: 4.738 Mg/m³

```
K2LuF5
1.0
6.5076 0.0000 0.0000
0.0000 7.0314 0.0000
0.0000 0.0000 10.6678
K Lu F
8 4 20
Direct
0.4623 0.5030 0.8290 K
0.5377 0.4970 0.1710 K
0.9623 0.4970 0.6710 K
0.5377 0.0030 0.1710 K
0.0377 0.5030 0.3290 K
0.4623 0.9970 0.8290 K
0.0377 0.9970 0.3290 K
0.9623 0.0030 0.6710 K
0.4366 0.2500 0.5031 Lu
0.5634 0.7500 0.4969 Lu
0.9366 0.7500 0.9969 Lu
0.0634 0.2500 0.0031 Lu
0.1562 0.2500 0.8118 F
0.8438 0.7500 0.1882 F
0.6562 0.7500 0.6882 F
0.3438 0.2500 0.3118 F
0.6222 0.2500 0.6657 F
0.3778 0.7500 0.3343 F
0.1222 0.7500 0.8343 F
0.8778 0.2500 0.1657 F
0.1116 0.2500 0.5143 F
0.8884 0.7500 0.4857 F
0.6116 0.7500 0.9857 F
0.3884 0.2500 0.0143 F
0.3528 0.9632 0.5726 F
0.6472 0.0368 0.4274 F
0.8528 0.0368 0.9274 F
0.6472 0.4632 0.4274 F
0.1472 0.9632 0.0726 F
0.3528 0.5368 0.5726 F
0.1472 0.5368 0.0726 F
0.8528 0.4632 0.9274 F
```

A PBEsol-optimized structure of KMgF3, computed with SCAN.

Summary:
**VASP energy**: -0.6127 Ry/atom
**Calculated density**: 3.148 Mg/m³

```
KMgF3
1.0
3.9897 0.0000 0.0000
0.0000 3.9897 0.0000
0.0000 0.0000 3.9897
K Mg F
1 1 3
Direct
0.5000 0.5000 0.5000 K
0.0000 0.0000 0.0000 Mg
0.0000 0.0000 0.5000 F
0.5000 0.0000 0.0000 F
0.0000 0.5000 0.0000 F
```

A PBEsol-optimized structure of K2MgF, computed with SCAN.

Summary:
**VASP energy**: -0.5098 Ry/atom
**Calculated density**: 1.502 Mg/m³

```
K2MgF
1.0
5.7481 0.0000 0.0000
2.8741 4.9780 0.0000
2.8741 1.6593 4.6933
K Mg F
2 1 1
Direct
0.2500 0.2500 0.2500 K
0.7500 0.7500 0.7500 K
0.5000 0.5000 0.5000 Mg
0.0000 0.0000 0.0000 F
```

A PBEsol-optimized structure of KNaMg2F6, computed with SCAN.

Summary:
**Energy above the most stable polymorph in this dataset**: 0 meV/atom
**Calculated density**: 3.034 Mg/m³

```
KNaMg2F6
1.0
-0.9682 0.8564 3.7304
-2.1727 -3.2908 0.1915
6.2977 -4.0093 2.5550
K Na Mg F
1 1 2 6
Direct
0.5000 0.5000 0.5000 K
0.5000 0.5000 0.0000 Na
0.0000 0.0000 0.2468 Mg
0.0000 0.0000 0.7532 Mg
0.5000 0.0000 0.2437 F
0.5000 0.0000 0.7563 F
0.0000 0.5000 0.7563 F
0.0000 0.5000 0.2437 F
0.0000 0.0000 0.0000 F
0.0000 0.0000 0.5000 F
```

A PBEsol-optimized structure of KNa3Mg4F12, computed with SCAN.

Summary:
**VASP energy**: -0.5623 Ry/atom
**Calculated density**: 3.062 Mg/m³

```
KNa3Mg4F12
1.0
-4.8087 0.0223 2.5936
2.5753 -0.6179 4.8395
0.4424 7.7476 0.7538
K Na Mg F
1 3 4 12
Direct
0.5066 0.5185 0.5000 K
0.9991 0.0297 0.5000 Na
0.4962 0.4661 0.0000 Na
0.9991 0.9750 0.0000 Na
0.9992 0.5022 0.7542 Mg
0.5010 0.9975 0.2473 Mg
0.9992 0.5022 0.2458 Mg
0.5010 0.9975 0.7527 Mg
0.7988 0.7980 0.7050 F
0.7120 0.2869 0.2553 F
0.2116 0.2121 0.2035 F
0.2939 0.7070 0.7812 F
0.2116 0.2121 0.7965 F
0.2939 0.7070 0.2188 F
0.7988 0.7980 0.2950 F
0.7120 0.2869 0.7447 F
0.4284 0.0106 0.5000 F
0.0359 0.4549 0.5000 F
0.5722 0.9897 0.0000 F
0.9295 0.5481 0.0000 F
```

A PBEsol-optimized structure of KNaMg2F6, computed with SCAN.

Summary:
**Energy above the most stable polymorph in this dataset**: 3 meV/atom
**Calculated density**: 3.029 Mg/m³

```
KNaMg2F6
1.0
5.5850 0.0000 0.0000
2.7925 4.8368 0.0000
2.7925 1.6123 4.5602
K Na Mg F
1 1 2 6
Direct
0.0000 0.0000 0.0000 K
0.5000 0.5000 0.5000 Na
0.2500 0.2500 0.2500 Mg
0.7500 0.7500 0.7500 Mg
0.0000 0.0000 0.5000 F
0.5000 0.5000 0.0000 F
0.0000 0.5000 0.0000 F
0.5000 0.0000 0.5000 F
0.0000 0.5000 0.5000 F
0.5000 0.0000 0.0000 F
```

A PBEsol-optimized structure of K2RbMgF, computed with SCAN.

Summary:
**VASP energy**: -0.6909 Ry/atom
**Calculated density**: 1.078 Mg/m³

```
K2RbMgF
1.0
6.7161 0.0000 0.0000
0.0000 6.7161 0.0000
0.0000 0.0000 7.0693
K Mg Rb F
2 1 1 1
Direct
0.0000 0.5000 0.0000 K
0.5000 0.0000 0.0000 K
0.0000 0.0000 0.0000 Mg
0.0000 0.0000 0.5000 Rb
0.5000 0.5000 0.5000 F
```

A PBEsol-optimized structure of K2MnF6, computed with SCAN.

Summary:
**VASP energy**: -0.6782 Ry/atom
**Calculated density**: 3.187 Mg/m³

```
K2MnF6
1.0
5.6687 0.0000 0.0000
-2.8344 4.9092 0.0000
0.0000 0.0000 9.2534
K Mn F
4 2 12
Direct
0.0000 0.0000 0.3987 K
0.0000 0.0000 0.8987 K
0.6667 0.3333 0.1265 K
0.3333 0.6667 0.6265 K
0.6667 0.3333 0.7435 Mn
0.3333 0.6667 0.2435 Mn
0.5169 0.4831 0.8585 F
0.4831 0.9661 0.3585 F
0.0339 0.5169 0.3585 F
0.9661 0.4831 0.8585 F
0.5169 0.0339 0.8585 F
0.4831 0.5169 0.3585 F
0.1790 0.8210 0.1353 F
0.8210 0.6419 0.6353 F
0.3581 0.1790 0.6353 F
0.6419 0.8210 0.1353 F
0.1790 0.3581 0.1353 F
0.8210 0.1790 0.6353 F
```

A PBEsol-optimized structure of K2MnF6, computed with SCAN.

Summary:
**VASP energy**: -0.6777 Ry/atom
**Calculated density**: 3.076 Mg/m³

```
K2MnF6
1.0
5.7352 0.0000 0.0000
2.8676 4.9668 0.0000
2.8676 1.6556 4.6827
K Mn F
2 1 6
Direct
0.7500 0.7500 0.7500 K
0.2500 0.2500 0.2500 K
0.0000 0.0000 0.0000 Mn
0.2236 0.7764 0.2236 F
0.7764 0.7764 0.2236 F
0.2236 0.2236 0.7764 F
0.7764 0.2236 0.7764 F
0.2236 0.7764 0.7764 F
0.7764 0.2236 0.2236 F
```

A PBEsol-optimized structure of K2NaMnF6, computed with SCAN.

Summary:
**VASP energy**: -0.6632 Ry/atom
**Calculated density**: 3.159 Mg/m³

```
K2NaMnF6
1.0
-2.7197 3.4810 -3.8444
-5.3569 2.0483 1.1841
-0.7608 5.6771 1.2186
Na K Mn F
1 2 1 6
Direct
0.5000 0.5000 0.5000 Na
0.7500 0.7500 0.7500 K
0.2500 0.2500 0.2500 K
0.0000 0.0000 0.0000 Mn
0.2325 0.7675 0.2325 F
0.2325 0.7675 0.7675 F
0.7675 0.2325 0.2325 F
0.7675 0.7675 0.2325 F
0.7675 0.2325 0.7675 F
0.2325 0.2325 0.7675 F
```

A PBEsol-optimized structure of KRbMnF6, computed with SCAN.

Summary:
**VASP energy**: -0.7790 Ry/atom
**Calculated density**: 3.421 Mg/m³

```
KRbMnF6
1.0
5.8625 0.0000 0.0000
2.9313 5.0771 0.0000
2.9313 1.6924 4.7867
K Rb Mn F
1 1 1 6
Direct
0.7500 0.7500 0.7500 K
0.2500 0.2500 0.2500 Rb
0.0000 0.0000 0.0000 Mn
0.7811 0.2189 0.7811 F
0.7811 0.7811 0.2189 F
0.7811 0.2189 0.2189 F
0.2189 0.7811 0.2189 F
0.2189 0.2189 0.7811 F
0.2189 0.7811 0.7811 F
```

A PBEsol-optimized structure of K2RbMn2F7, computed with SCAN.

Summary:
**VASP energy**: -0.8230 Ry/atom
**Calculated density**: 3.569 Mg/m³

```
K2RbMn2F7
1.0
-3.0686 -2.8490 0.2413
2.8432 -3.0032 0.6990
-0.6615 4.6566 10.1141
K Rb Mn F
2 1 2 7
Direct
0.6854 0.6854 0.3708 K
0.3146 0.3146 0.6292 K
0.5000 0.5000 0.0000 Rb
0.0994 0.0994 0.1988 Mn
0.9006 0.9006 0.8012 Mn
0.5987 0.0987 0.1974 F
0.0987 0.5987 0.1974 F
0.8044 0.8044 0.6088 F
0.1956 0.1956 0.3912 F
0.0000 0.0000 0.0000 F
0.9013 0.4013 0.8026 F
0.4013 0.9013 0.8026 F
```

A PBEsol-optimized structure of KMo3F, computed with SCAN.

Summary:
**VASP energy**: -1.4773 Ry/atom
**Calculated density**: 3.364 Mg/m³

```
KMo3F
1.0
5.5480 0.0000 0.0000
0.0000 5.5480 0.0000
0.0000 0.0000 5.5480
Mo K F
3 1 1
Direct
0.0000 0.5000 0.0000 Mo
0.0000 0.0000 0.5000 Mo
0.5000 0.0000 0.0000 Mo
0.0000 0.0000 0.0000 K
0.5000 0.5000 0.5000 F
```

A PBEsol-optimized structure of K2MoF, computed with SCAN.

Summary:
**VASP energy**: -0.9959 Ry/atom
**Calculated density**: 2.481 Mg/m³

```
K2MoF
1.0
-5.4990 -1.4005 0.0882
-1.6104 -5.2625 -1.3858
-1.9703 -3.5105 4.0002
Mo K F
1 2 1
Direct
0.5000 0.5000 0.5000 Mo
0.2500 0.2500 0.2500 K
0.7500 0.7500 0.7500 K
0.0000 0.0000 0.0000 F
```

A PBEsol-optimized structure of K2NaMoF6, computed with SCAN.

Summary:
**VASP energy**: -0.7776 Ry/atom
**Calculated density**: 3.391 Mg/m³

```
K2NaMoF6
1.0
-3.2061 -2.6030 -4.3459
-2.5787 -5.3267 0.9578
-5.9609 -0.3979 0.5008
K Na Mo F
2 1 1 6
Direct
0.2500 0.2500 0.2500 K
0.7500 0.7500 0.7500 K
0.5000 0.5000 0.5000 Na
0.0000 0.0000 0.0000 Mo
0.2401 0.7599 0.2401 F
0.7599 0.7599 0.2401 F
0.2401 0.2401 0.7599 F
0.7599 0.2401 0.2401 F
0.7599 0.2401 0.7599 F
0.2401 0.7599 0.7599 F
```

A PBEsol-optimized structure of K2NaMoO3F3, computed with SCAN.

Summary:
**VASP energy**: -0.8152 Ry/atom
**Calculated density**: 3.402 Mg/m³

```
K2NaMoO3F3
1.0
5.8736 -0.0161 0.0000
-0.1338 5.8721 0.0000
-2.8699 -2.9280 4.2752
K Na Mo O F
2 1 1 3 3
Direct
0.7369 0.2369 0.4738 K
0.2369 0.7369 0.4738 K
0.4965 0.4965 0.9931 Na
0.9797 0.9797 0.9593 Mo
0.8069 0.8069 0.0440 O
0.7759 0.7759 0.5517 O
0.2371 0.2371 0.0440 O
0.2326 0.7616 0.9943 F
0.2359 0.2359 0.4718 F
0.7616 0.2326 0.9943 F
```

A PBEsol-optimized structure of K2NaMoO3F3, computed with SCAN.

Summary:
**VASP energy**: -0.8153 Ry/atom
**Calculated density**: 3.404 Mg/m³

```
K2NaMoO3F3
1.0
5.8844 0.0000 0.0000
0.0000 5.8844 0.0000
0.0000 0.0000 8.5119
K Na Mo O F
4 2 2 6 6
Direct
0.5000 0.0000 0.7630 K
0.0000 0.5000 0.2630 K
0.5000 0.0000 0.2630 K
0.0000 0.5000 0.7630 K
0.5000 0.5000 0.5038 Na
0.0000 0.0000 0.0038 Na
0.5000 0.5000 0.0211 Mo
0.0000 0.0000 0.5211 Mo
0.5000 0.5000 0.2259 O
0.7129 0.2871 0.9802 O
0.2129 0.2129 0.4802 O
0.0000 0.0000 0.7259 O
0.7871 0.7871 0.4802 O
0.2871 0.7129 0.9802 O
0.2369 0.7631 0.5019 F
0.5000 0.5000 0.7648 F
0.2631 0.2631 0.0019 F
0.0000 0.0000 0.2648 F
0.7369 0.7369 0.0019 F
0.7631 0.2369 0.5019 F
```

A PBEsol-optimized structure of KNaMoO2F4, computed with SCAN.

Summary:
**VASP energy**: -0.7924 Ry/atom
**Calculated density**: 2.990 Mg/m³

```
KNaMoO2F4
1.0
-5.5439 2.0555 -0.8424
-2.1128 -4.1791 3.7069
0.9521 5.1863 6.3897
K Na Mo O F
2 2 2 4 8
Direct
0.0000 0.0000 0.5000 K
0.5000 0.5000 0.5000 K
0.5000 0.0000 0.2232 Na
0.0000 0.5000 0.7768 Na
0.0000 0.5000 0.2606 Mo
0.5000 0.0000 0.7394 Mo
0.0000 0.5000 0.0499 O
0.0000 0.5000 0.4808 O
0.5000 0.0000 0.5192 O
0.5000 0.0000 0.9501 O
0.7716 0.2716 0.2680 F
0.2284 0.2716 0.2680 F
0.7716 0.7284 0.2680 F
0.2284 0.7284 0.2680 F
0.2716 0.7716 0.7320 F
0.7284 0.7716 0.7320 F
0.2716 0.2284 0.7320 F
0.7284 0.2284 0.7320 F
```

A PBEsol-optimized structure of K2NiMoF, computed with SCAN.

Summary:
**VASP energy**: -1.0098 Ry/atom
**Calculated density**: 2.444 Mg/m³

```
K2NiMoF
1.0
-2.5206 3.0813 -0.8358
-4.5254 -2.6706 3.8026
2.3317 3.2861 5.0829
Ni Mo K F
1 1 2 1
Direct
0.5000 0.5000 0.5000 Ni
0.0000 0.0000 0.0000 Mo
0.0000 0.0000 0.5000 K
0.0000 0.5000 0.0000 K
0.5000 0.0000 0.0000 F
```

| no. | magnetic moment (μB per formula unit) | calculated volume (Å³/atom) |
| --- | --- | --- |
| 1 | 1.000 | 12.95 |
| 2 | 2.000 | 12.65 |
| 3 | 0.099 | 15.25 |
| 4 | 0.000 | 12.70 |
| 5 | 0.780 | 33.57 |
| 6 | 0.000 | 12.30 |
| 7 | 0.001 | 11.75 |
| 8 | 0.000 | 12.32 |
| 9 | 2.031 | 63.77 |
| 10 | 3.000 | 14.31 |
| 11 | 3.000 | 14.82 |
| 12 | 4.000 | 14.20 |
| 13 | 3.000 | 15.83 |
| 14 | 10.000 | 15.76 |
| 15 | 16.526 | 34.15 |
| 16 | 4.998 | 32.31 |
| 17 | 3.000 | 15.24 |
| 18 | 0.000 | 14.74 |
| 19 | 0.071 | 14.74 |
| 20 | 0.057 | 16.42 |
| 21 | 5.089 | 34.23 |